# GGA-PBE Sc3CdHg2, optimized geometry
data_Sc3CdHg2
_symmetry_space_group_name_H-M 'P 1'
_symmetry_Int_Tables_number 1
_symmetry_space_group_name_Hall 'P 1'
_cell_length_a 3.534
_cell_length_b 3.534
_cell_length_c 10.529
_cell_angle_alpha 90.00
_cell_angle_beta 90.00
_cell_angle_gamma 90.00
loop_
_atom_site_label
_atom_site_fract_x
_atom_site_fract_y
_atom_site_fract_z
Cd1 0.500 0.500 0.500
Sc1 0.000 0.000 0.669
Sc2 0.000 0.000 0.000
Sc3 0.000 0.000 0.331
Hg1 0.500 0.500 0.831
Hg2 0.500 0.500 0.169
# Space-group type: P4/mmm, No. 123

# GGA-PBE Sc4Cd2Hg3, optimized geometry
data_Sc4Cd2Hg3
_symmetry_space_group_name_H-M 'P 1'
_symmetry_Int_Tables_number 1
_symmetry_space_group_name_Hall 'P 1'
_cell_length_a 4.950
_cell_length_b 4.970
_cell_length_c 9.261
_cell_angle_alpha 89.55
_cell_angle_beta 89.99
_cell_angle_gamma 60.14
loop_
_atom_site_label
_atom_site_fract_x
_atom_site_fract_y
_atom_site_fract_z
Cd1 0.332 0.336 0.780
Cd2 0.668 0.664 0.220
Hg1 0.666 0.668 0.570
Hg2 0.334 0.332 0.430
Hg3 0.000 0.000 0.000
Sc1 0.001 0.998 0.327
Sc2 0.666 0.668 0.897
Sc3 0.999 0.002 0.673
Sc4 0.334 0.332 0.103
# Space-group type: C2/m, No. 12

# GGA-PBE Sc4CdHg5, optimized geometry
data_Sc4CdHg5
_symmetry_space_group_name_H-M 'P 1'
_symmetry_Int_Tables_number 1
_symmetry_space_group_name_Hall 'P 1'
_cell_length_a 3.507
_cell_length_b 3.507
_cell_length_c 17.849
_cell_angle_alpha 90.00
_cell_angle_beta 90.00
_cell_angle_gamma 90.00
loop_
_atom_site_label
_atom_site_fract_x
_atom_site_fract_y
_atom_site_fract_z
Sc1 0.000 0.000 0.401
Sc2 0.000 0.000 0.201
Sc3 0.000 0.000 0.599
Sc4 0.000 0.000 0.799
Hg1 0.500 0.500 0.894
Hg2 0.500 0.500 0.696
Hg3 0.500 0.500 0.106
Hg4 0.500 0.500 0.500
Hg5 0.500 0.500 0.304
Cd1 0.000 0.000 0.000
# Space-group type: P4/mmm, No. 123

# GGA-PBE Sc2CdHg2, optimized geometry
data_Sc2CdHg2
_symmetry_space_group_name_H-M 'P 1'
_symmetry_Int_Tables_number 1
_symmetry_space_group_name_Hall 'P 1'
_cell_length_a 4.737
_cell_length_b 6.710
_cell_length_c 7.972
_cell_angle_alpha 102.14
_cell_angle_beta 107.28
_cell_angle_gamma 90.00
loop_
_atom_site_label
_atom_site_fract_x
_atom_site_fract_y
_atom_site_fract_z
Cd1 0.500 0.250 0.000
Cd2 0.500 0.750 0.000
Hg1 0.123 0.311 0.247
Hg2 0.877 0.189 0.753
Hg3 0.877 0.689 0.753
Hg4 0.123 0.811 0.247
Sc1 0.318 0.909 0.636
Sc2 0.318 0.409 0.636
Sc3 0.682 0.591 0.364
Sc4 0.682 0.091 0.364
# Space-group type: Immm, No. 71
# Distance to the lowest polymorph of the same formula (eV per atom): 0.094

| no. | calculated formation energy (meV per atom) | density (g/cm3) |
| --- | --- | --- |
| 1 | -384 | 8.2 |
| 2 | -301 | 8.5 |
| 3 | -345 | 9.8 |
| 4 | -228 | 8.5 |